(1)
Entry from Alexandria via LeMat-Bulk: crystalline NaSbOsI2 at its relaxed geometry (PBEsol).

Summary:
Symmetry: P4/mmm (123)
Total moment: 0.2 μB per formula unit

Cell: 4.921 5.691 5.691 Å, 90.00 90.00 90.00°
Each line ends with the local moment (μB).
Fractional coordinates of all 5 atoms:
I (0.000, 0.000, 0.500)  0.00
I (0.000, 0.500, 0.000)  0.00
Sb (0.500, 0.000, 0.000)  0.00
Os (0.000, 0.000, 0.000)  0.13
Na (0.500, 0.500, 0.500)  0.00

---

(2)
Entry from Alexandria via LeMat-Bulk: crystalline NaSb2OsI at its relaxed geometry (PBEsol).

Summary:
Symmetry: P4/mmm (123)
Total moment: 2.6 μB per formula unit

Cell: 5.229 5.253 5.253 Å, 90.00 90.00 90.00°
Each line ends with the local moment (μB).
Fractional coordinates of all 5 atoms:
I (0.500, 0.000, 0.000)  0.04
Sb (0.000, 0.000, 0.500)  -0.08
Sb (0.000, 0.500, 0.000)  -0.08
Os (0.500, 0.500, 0.500)  2.49
Na (0.000, 0.000, 0.000)  0.00

---

Number 1: formation energy without anion corrections 253 meV per atom, calculated total energy -4.088 eV per atom. Number 2: formation energy without anion corrections 1871 meV per atom, calculated total energy -3.029 eV per atom.